An optimized crystal structure of HfZrCd2O6. Source: Alexandria via LeMat-Bulk, functional PBE.

Lattice parameters (Å, degrees): 5.6102 5.6102 14.6374 90.00 90.00 120.00
Space group R3 (No. 146, hexagonal axes)
Inequivalent atoms, fractional coordinates:
Hf (0.0000, 0.0000, 0.0000) x3
Zr (0.0000, 0.0000, 0.5008) x3
Cd (0.0000, 0.0000, 0.2755) x3
Cd (0.0000, 0.0000, 0.7740) x3
O (0.0625, 0.7208, 0.0724) x9
O (0.0654, 0.3475, 0.5737) x9

Values from the calculation:
theoretical density	7.4	g/cm3
raw formation energy	-2.4569	eV per atom

=====

An optimized crystal structure of SrSmHg. Source: Alexandria via LeMat-Bulk, functional PBE.

Lattice parameters (Å, degrees): 3.8944 3.8944 13.6832 90.00 90.00 90.00
Space group I4mm (No. 107)
Inequivalent atoms, fractional coordinates:
Sr (0.0000, 0.0000, 0.0000) x2
Sm (0.0000, 0.0000, 0.2770) x2
Hg (0.0000, 0.0000, 0.6608) x2

Values from the calculation:
excess energy over the best structure of this formula in the dataset	0.000	eV per atom
theoretical density	7.0	g/cm3

=====

An optimized crystal structure of ZrMnNi2. Source: Alexandria via LeMat-Bulk, functional PBE.

Lattice parameters (Å, degrees): 2.8434 2.8434 25.2947 90.00 90.00 120.00
Space group R-3m (No. 166, hexagonal axes)
Inequivalent atoms, fractional coordinates:
Zr (0.0000, 0.0000, 0.0000) x3
Mn (0.0000, 0.0000, 0.5000) x3
Ni (0.0000, 0.0000, 0.2431) x6

Values from the calculation:
theoretical density	7.4	g/cm3
final energy	-7.15	eV per atom

=====

An optimized crystal structure of Mg4ZnSn3. Source: Alexandria via LeMat-Bulk, functional PBE.

Lattice parameters (Å, degrees): 3.7226 3.7226 13.1413 90.00 90.00 90.00
Space group P4/mmm (No. 123)
Inequivalent atoms, fractional coordinates:
Mg (0.0000, 0.0000, 0.1120) x2
Mg (0.0000, 0.0000, 0.3679) x2
Zn (0.5000, 0.5000, 0.0000) x1
Sn (0.5000, 0.5000, 0.2390) x2
Sn (0.5000, 0.5000, 0.5000) x1

Values from the calculation:
theoretical density	4.7	g/cm3
final energy	-2.53	eV per atom

=====

An optimized crystal structure of TbPuAg4. Source: Alexandria via LeMat-Bulk, functional PBE.

Lattice parameters (Å, degrees): 5.2831 9.6039 5.2832 90.00 90.00 90.00
Space group Cmmm (No. 65)
Inequivalent atoms, fractional coordinates:
Tb (0.0000, 0.0000, 0.0000) x2
Pu (0.0000, 0.5000, 0.5000) x2
Ag (0.0000, 0.1731, 0.5000) x4
Ag (0.0000, 0.3232, 0.0000) x4

Values from the calculation:
excess energy over the best structure of this formula in the dataset	0.000	eV per atom
theoretical density	10.3	g/cm3

=====

An optimized crystal structure of AcCeLuPu. Source: Alexandria via LeMat-Bulk, functional PBE.

Lattice parameters (Å, degrees): 8.0562 8.0562 8.0562 90.00 90.00 90.00
Space group F-43m (No. 216)
Inequivalent atoms, fractional coordinates:
Ac (0.0000, 0.0000, 0.0000) x4
Ce (0.2500, 0.2500, 0.7500) x4
Lu (0.2500, 0.2500, 0.2500) x4
Pu (0.0000, 0.0000, 0.5000) x4

Values from the calculation:
theoretical density	10.0	g/cm3
final energy	-6.95	eV per atom

=====

An optimized crystal structure of ScSiPd6. Source: Alexandria via LeMat-Bulk, functional PBE.

Lattice parameters (Å, degrees): 5.4432 5.4432 17.8467 90.00 90.00 120.00
Space group R-3m (No. 166, hexagonal axes)
Inequivalent atoms, fractional coordinates:
Sc (0.0000, 0.0000, 0.0000) x3
Si (0.0000, 0.0000, 0.5000) x3
Pd (0.0088, 0.5044, 0.9255) x18

Values from the calculation:
theoretical density	7.7	g/cm3
raw formation energy	-0.3064	eV per atom

=====

An optimized crystal structure of K4ZnCl6. Source: Alexandria via LeMat-Bulk, functional PBE.

Lattice parameters (Å, degrees): 14.9110 7.9653 15.1417 90.00 115.45 90.00
Space group Cc (No. 9)
Inequivalent atoms, fractional coordinates:
K (0.0000, 0.1373, 0.0000) x4
K (0.0559, 0.3481, 0.3009) x4
K (0.2212, 0.2892, 0.6414) x4
K (0.3279, 0.1460, 0.9675) x4
Zn (0.2847, 0.2502, 0.2397) x4
Cl (0.0226, 0.2321, 0.4735) x4
Cl (0.1910, 0.0359, 0.2596) x4
Cl (0.2126, 0.3214, 0.0762) x4
Cl (0.2647, 0.4810, 0.3250) x4
Cl (0.3888, 0.1711, 0.5942) x4
Cl (0.4489, 0.1960, 0.2974) x4

Values from the calculation:
theoretical density	1.8	g/cm3
raw formation energy	-1.7271	eV per atom